No. 1
# La7Ho6Er16

A relaxed structure of La7Ho6Er16 (PBE, the Alexandria database).

Calculated values
energy	-0.327	Ry/atom
DOS at the Fermi energy	1.808	states/eV/atom
E_form	5.96	eV per formula unit

Cell: 15.624 15.624 15.624 Å, 90.00 90.00 90.00°
Space group Fm-3m (No. 225)
Symmetry-distinct sites (fractional):
La1 0.000 0.000 0.000 (multiplicity 4)
La2 0.000 0.250 0.250 (multiplicity 24)
Ho1 0.000 0.000 0.227 (multiplicity 24)
Er1 0.111 0.111 0.389 (multiplicity 32)
Er2 0.150 0.150 0.150 (multiplicity 32)


No. 2
# LaGa2Pb

A relaxed structure of LaGa2Pb (PBE, the Alexandria database).

Calculated values
energy	-0.303	Ry/atom
DOS at the Fermi energy	0.712	states/eV/atom
E_form	-1.78	eV per formula unit

Cell: 4.695 4.695 4.530 Å, 90.00 90.00 90.00°
Space group P4/mmm (No. 123)
Symmetry-distinct sites (fractional):
La1 0.000 0.000 0.000 (multiplicity 1)
Ga1 0.000 0.500 0.500 (multiplicity 2)
Pb1 0.500 0.500 0.000 (multiplicity 1)


No. 3
# TlSbOs2

A relaxed structure of TlSbOs2 (PBE, the Alexandria database).

Calculated values
energy	-0.468	Ry/atom
DOS at the Fermi energy	0.253	states/eV/atom
E above lowest polymorph	0.3991	eV per atom
uncorrected formation energy	335	kJ/mol of formula units

Cell: 6.573 6.573 6.573 Å, 90.00 90.00 90.00°
Space group Fm-3m (No. 225)
Symmetry-distinct sites (fractional):
Tl1 0.000 0.000 0.000 (multiplicity 4)
Sb1 0.000 0.000 0.500 (multiplicity 4)
Os1 0.250 0.250 0.250 (multiplicity 8)


No. 4
# HgW

A relaxed structure of HgW (PBE, the Alexandria database).

Calculated values
energy	-0.393	Ry/atom
DOS at the Fermi energy	0.961	states/eV/atom
E above lowest polymorph	0.7790	eV per atom
E_form	2.57	eV per formula unit

Cell: 7.919 8.107 10.283 Å, 90.00 90.00 90.00°
Space group Fddd (No. 70, origin choice 2)
Symmetry-distinct sites (fractional):
Hg1 0.047 0.375 0.375 (multiplicity 16)
W1 0.125 0.270 0.625 (multiplicity 16)


No. 5
# Ba3Ce2UAs6

A relaxed structure of Ba3Ce2UAs6 (PBE, the Alexandria database).

Calculated values
energy	-0.432	Ry/atom
DOS at the Fermi energy	0.931	states/eV/atom
E_form	-13.74	eV per formula unit

Cell: 7.610 13.180 7.871 Å, 90.00 108.81 90.00°
Space group C2/m (No. 12)
Symmetry-distinct sites (fractional):
Ba1 0.000 0.000 0.000 (multiplicity 2)
Ba2 0.000 0.331 0.000 (multiplicity 4)
Ce1 0.000 0.166 0.500 (multiplicity 4)
U1 0.000 0.500 0.500 (multiplicity 2)
As1 0.228 0.339 0.703 (multiplicity 8)
As2 0.247 0.000 0.704 (multiplicity 4)


No. 6
# K3ZrN

A relaxed structure of K3ZrN (PBE, the Alexandria database).

Calculated values
energy	-0.200	Ry/atom
DOS at the Fermi energy	1.905	states/eV/atom
E above lowest polymorph	0.0000	eV per atom
uncorrected formation energy	631	kJ/mol of formula units

Cell: 5.679 5.679 5.679 Å, 90.00 90.00 90.00°
Space group Pm-3m (No. 221)
Symmetry-distinct sites (fractional):
K1 0.000 0.000 0.500 (multiplicity 3)
Zr1 0.500 0.500 0.500 (multiplicity 1)
N1 0.000 0.000 0.000 (multiplicity 1)